(1)
ZnRhBr2: relaxed, PBE-GGA.

Cell lengths 7.0689, 7.0689, 7.0689 Å; angles 129.31, 129.31, 74.52 degrees
Element x y z (fractional)
Zn1 0.0000 0.0000 0.0000
Zn2 0.7500 0.2500 0.5000
Rh1 0.2500 0.7500 0.5000
Rh2 0.5000 0.5000 0.0000
Br1 0.1258 0.6250 0.0008
Br2 0.3750 0.3758 0.5008
Br3 0.6242 0.1250 0.9992
Br4 0.8750 0.8742 0.4992

Calculated values
As for the space group: I-42d. The calculation puts the uncorrected formation energy at 78 kJ/mol of formula units. Its polymorph energy (0 for the lowest one) is 0.407 eV/atom.

(2)
CaTl2HPd: relaxed, PBE-GGA.

Cell lengths 4.7808, 4.7808, 4.4305 Å; angles 90.00, 90.00, 90.00 degrees
Element x y z (fractional)
Ca1 0.0000 0.0000 0.0000
Tl1 0.0000 0.5000 0.5000
Tl2 0.5000 0.0000 0.5000
H1 0.0000 0.0000 0.5000
Pd1 0.5000 0.5000 0.0000

Calculated values
As for the space group: P4/mmm. For the raw total energy, the calculation gives -3.18 eV/atom.

(3)
K3Nd3Br10: relaxed, PBE-GGA.

Cell lengths 8.4940, 13.3585, 9.1885 Å; angles 90.00, 93.42, 90.00 degrees
Element x y z (fractional)
K1 0.1840 0.0000 0.2373
K2 0.1967 0.9871 0.7375
K3 0.2855 0.3310 0.2605
K4 0.7145 0.8310 0.7395
K5 0.8033 0.4871 0.2625
K6 0.8160 0.5000 0.7627
Nd1 0.1917 0.6674 0.4912
Nd2 0.3375 0.3503 0.7580
Nd3 0.3487 0.6670 0.0191
Nd4 0.6513 0.1670 0.9809
Nd5 0.6625 0.8503 0.2420
Nd6 0.8083 0.1674 0.5088
Br1 0.0903 0.4547 0.5307
Br2 0.0973 0.7414 0.7813
Br3 0.1020 0.7507 0.1973
Br4 0.1457 0.4737 0.9776
Br5 0.1787 0.1864 0.5387
Br6 0.2969 0.1787 0.9717
Br7 0.4160 0.8403 0.4742
Br8 0.4177 0.5627 0.3031
Br9 0.4227 0.8847 0.9935
Br10 0.4398 0.5781 0.7221
Br11 0.5602 0.0781 0.2779
Br12 0.5773 0.3847 0.0065
Br13 0.5823 0.0627 0.6969
Br14 0.5840 0.3403 0.5258
Br15 0.7031 0.6787 0.0283
Br16 0.8213 0.6864 0.4613
Br17 0.8543 0.9737 0.0224
Br18 0.8980 0.2507 0.8027
Br19 0.9027 0.2414 0.2187
Br20 0.9097 0.9547 0.4693

Calculated values
As for the space group: P2_1. The calculation puts the uncorrected formation energy at -2636 kJ/mol of formula units.

(4)
PmTi2O6: relaxed, PBE-GGA.

Cell lengths 5.3466, 5.3466, 7.1769 Å; angles 116.23, 116.23, 41.77 degrees
Element x y z (fractional)
Pm1 0.0000 0.0000 0.0000
Ti1 0.1715 0.1715 0.6075
Ti2 0.8285 0.8285 0.3925
O1 0.0201 0.0201 0.6867
O2 0.2902 0.2902 0.4159
O3 0.3401 0.3401 0.8756
O4 0.6599 0.6599 0.1244
O5 0.7098 0.7098 0.5841
O6 0.9799 0.9799 0.3133

Calculated values
As for the space group: C2/m. The calculation puts the uncorrected formation energy at -2523 kJ/mol of formula units.

(5)
TlHgRu2F: relaxed, PBE-GGA.

Cell lengths 5.1662, 5.1662, 4.5688 Å; angles 90.00, 90.00, 90.00 degrees
Element x y z (fractional)
Tl1 0.0000 0.0000 0.0000
Hg1 0.5000 0.5000 0.5000
Ru1 0.0000 0.5000 0.0000
Ru2 0.5000 0.0000 0.0000
F1 0.0000 0.0000 0.5000

Calculated values
As for the space group: P4/mmm. The calculation puts the uncorrected formation energy at 532 kJ/mol of formula units.

(6)
La2EuAl: relaxed, PBE-GGA.

Cell lengths 3.8332, 3.8332, 9.0864 Å; angles 90.00, 90.00, 90.00 degrees
Element x y z (fractional)
La1 0.0000 0.0000 0.1999
La2 0.0000 0.0000 0.8001
Eu1 0.5000 0.5000 0.5000
Al1 0.5000 0.5000 0.0000

Calculated values
As for the space group: P4/mmm. Its polymorph energy (0 for the lowest one) is 0.000 eV/atom. As for the energy of formation: -0.147 eV per atom.